[1]
This record from Alexandria via LeMat-Bulk describes an optimized crystal structure of Rb2TiCo. The functional is PBE-GGA.

Cell lengths 9.7077, 9.7077, 9.7077 Å; angles 92.73, 92.73, 154.81 degrees
Element x y z (fractional)
Rb (0.3750, 0.0520, 0.1770)
Rb (0.8020, 0.6250, 0.6770)
Rb (0.8750, 0.1980, 0.8230)
Rb (0.9480, 0.1250, 0.3230)
Ti (0.2500, 0.7500, 0.5000)
Ti (0.5000, 0.5000, 0.0000)
Co (0.0000, 0.0000, 0.0000)
Co (0.7500, 0.2500, 0.5000)

Output
ΔH_f (0 K): 0.931 eV per atom
total magnetization: 0.00 μB/f.u.
space group: I-42d, No. 122
raw total energy: -26.43 eV per cell


[2]
This record from Alexandria via LeMat-Bulk describes an optimized crystal structure of Gd2TiIn. The functional is PBE-GGA.

Cell lengths 11.4733, 11.4733, 11.4733 Å; angles 16.62, 16.62, 16.62 degrees
Element x y z (fractional)
Gd (0.0862, 0.0862, 0.0862)
Gd (0.9138, 0.9138, 0.9138)
Ti (0.0000, 0.0000, 0.0000)
In (0.5000, 0.5000, 0.5000)

Output
ΔH_f (0 K): 0.291 eV per atom
total magnetization: 13.21 μB/f.u.
space group: R-3m, No. 166
raw total energy: -37.63 eV per cell


[3]
This record from Alexandria via LeMat-Bulk describes an optimized crystal structure of NaSiF. The functional is PBE-GGA.

Cell lengths 8.7656, 8.7656, 8.7656 Å; angles 24.61, 24.61, 24.61 degrees
Element x y z (fractional)
Na (0.0000, 0.0000, 0.0000)
Na (0.2342, 0.2342, 0.2342)
Si (0.4456, 0.4456, 0.4456)
Si (0.8106, 0.8106, 0.8106)
F (0.3747, 0.3747, 0.3747)
F (0.6172, 0.6172, 0.6172)

Output
total magnetization: 0.00 μB/f.u.
E_form (uncorrected): -1.60 eV/atom
space group: R3m, No. 160
raw total energy: -26.84 eV per cell


[4]
This record from Alexandria via LeMat-Bulk describes an optimized crystal structure of PmPr4Nd5. The functional is PBE-GGA.

Cell lengths 10.8473, 10.8473, 6.0212 Å; angles 90.00, 90.00, 90.00 degrees
Element x y z (fractional)
Pm (0.2500, 0.2500, 0.1393)
Pm (0.7500, 0.7500, 0.8607)
Pr (0.0457, 0.7500, 0.8683)
Pr (0.2500, 0.5457, 0.1317)
Pr (0.2500, 0.9543, 0.1317)
Pr (0.4543, 0.7500, 0.8683)
Pr (0.5457, 0.2500, 0.1317)
Pr (0.7500, 0.0457, 0.8683)
Pr (0.7500, 0.4543, 0.8683)
Pr (0.9543, 0.2500, 0.1317)
Nd (0.0880, 0.0880, 0.6643)
Nd (0.0880, 0.4120, 0.6643)
Nd (0.2500, 0.7500, 0.5000)
Nd (0.4120, 0.0880, 0.6643)
Nd (0.4120, 0.4120, 0.6643)
Nd (0.5880, 0.5880, 0.3357)
Nd (0.5880, 0.9120, 0.3357)
Nd (0.7500, 0.2500, 0.5000)
Nd (0.9120, 0.5880, 0.3357)
Nd (0.9120, 0.9120, 0.3357)

Output
ΔH_f (0 K): 0.163 eV per atom
total magnetization: 0.00 μB/f.u.
space group: P4/nmm, No. 129
raw total energy: -92.16 eV per cell